DFT (PBEsol) results for crystalline LiFe2P3O12 at its relaxed geometry.

a = 8.0428 Å, b = 8.3624 Å, c = 13.8655 Å
α = 90.00°, β = 124.74°, γ = 90.00°
With the nearest neighbours (Å) after each atom.
Space group P2_1/c (No. 14)
Asymmetric unit:
1 Li 0.0013 0.2072 0.1768  4 O 1.93-1.99
2 Fe 0.1357 0.0277 0.3849  6 O 1.80-1.88
3 Fe 0.3661 0.0298 0.1131  6 O 1.84-1.92
4 P 0.0309 0.6199 0.6407  4 O 1.53-1.55
5 P 0.2598 0.1163 0.6479  4 O 1.53-1.56
6 P 0.4635 0.7486 0.4926  4 O 1.53-1.56
7 O 0.0147 0.7149 0.1850  1 P 1.55
8 O 0.1094 0.0805 0.6817  1 P 1.56
9 O 0.1117 0.9996 0.2433  1 P 1.55
10 O 0.1612 0.0664 0.5202  1 P 1.53
11 O 0.1732 0.6201 0.6006  1 P 1.53
12 O 0.1859 0.0609 0.9543  1 P 1.55
13 O 0.2500 0.6767 0.9337  1 P 1.55
14 O 0.2676 0.1973 0.1561  1 P 1.56
15 O 0.3772 0.1214 0.4385  1 P 1.53
16 O 0.4575 0.0232 0.7266  1 P 1.53
17 O 0.4635 0.6772 0.3891  1 P 1.56
18 O 0.4929 0.6278 0.5843  1 P 1.53

Computed properties:
- M_tot: 16.00 μB per cell
- Formation energy without anion corrections: -1.817 eV/atom
- DFT total energy: -531.87 eV for the cell shown


DFT (PBEsol) results for crystalline LiFe4P4O16 at its relaxed geometry.

a = 5.3234 Å, b = 12.4686 Å, c = 7.9347 Å
α = 90.00°, β = 90.00°, γ = 90.00°
With the nearest neighbours (Å) after each atom.
Space group Imm2 (No. 44)
Asymmetric unit:
1 Li 0.0000 0.0000 0.0000  4 O 1.93-2.06
2 Fe 0.0000 0.1285 0.3250  4 O 1.90-2.06
3 Fe 0.0000 0.3717 0.3210  4 O 1.91-2.09
4 P 0.0000 0.0000 0.6673  4 O 1.52-1.58
5 P 0.0000 0.2507 0.9714  4 O 1.52-1.57
6 P 0.0000 0.5000 0.6692  4 O 1.53-1.57
7 O 0.0000 0.1015 0.5612  1 P 1.52
8 O 0.0000 0.1468 0.0760  1 P 1.54
9 O 0.0000 0.3501 0.0827  1 P 1.52
10 O 0.0000 0.3993 0.5587  1 P 1.53
11 O 0.2318 0.0000 0.7917  1 P 1.58
12 O 0.2380 0.2510 0.8553  1 P 1.57
13 O 0.2434 0.5000 0.7799  1 P 1.57

Computed properties:
- M_tot: 37.90 μB per cell
- Formation energy without anion corrections: -1.845 eV/atom
- DFT total energy: -382.18 eV for the cell shown


DFT (PBEsol) results for crystalline LiFeP2O7 at its relaxed geometry.

a = 4.9291 Å, b = 7.8808 Å, c = 8.6874 Å
α = 114.07°, β = 90.30°, γ = 106.54°
With the nearest neighbours (Å) after each atom.
Space group P1 (No. 1)
Asymmetric unit:
1 Li 0.0000 0.0000 0.0000  3 O 1.85-2.06
2 Li 0.4174 0.9791 0.5022  2 O 1.83-1.88
3 Fe 0.2336 0.4396 0.1608  5 O 1.90-2.08
4 Fe 0.5846 0.4122 0.6501  5 O 1.88-2.06
5 P 0.1851 0.6222 0.9051  3 O 1.48-1.53
6 P 0.6078 0.1940 0.2489  3 O 1.48-1.54
7 P 0.8171 0.6167 0.3990  3 O 1.48-1.53
8 P 0.9994 0.1973 0.7471  3 O 1.48-1.54
9 O 0.0908 0.7732 0.8822  1 P 1.48
10 O 0.0918 0.2275 0.9290  1 P 1.54
11 O 0.1063 0.7581 0.4333  1 P 1.48
12 O 0.1700 0.6178 0.0795  1 P 1.53
13 O 0.2554 0.2001 0.6461  1 P 1.54
14 O 0.3380 0.2313 0.1966  1 P 1.54
15 O 0.4610 0.5888 0.8375  1 P 1.53
16 O 0.5909 0.6263 0.2834  1 P 1.53
17 O 0.6016 0.1976 0.4274  1 P 1.54
18 O 0.6886 0.0310 0.1198  1 P 1.48
19 O 0.6907 0.5884 0.5505  1 P 1.53
20 O 0.7322 0.0355 0.6584  1 P 1.48
21 O 0.8700 0.4008 0.2802  2 P 1.68-1.69
22 O 0.9345 0.4060 0.7757  2 P 1.68-1.71

Computed properties:
- M_tot: 10.00 μB per cell
- Distance to the lowest polymorph of the same formula: 0.085 eV per atom
- Formation energy without anion corrections: -1.952 eV/atom
- DFT total energy: -161.47 eV for the cell shown


DFT (PBEsol) results for crystalline LiFe2P2O8 at its relaxed geometry.

a = 4.7641 Å, b = 4.9953 Å, c = 5.7399 Å
α = 85.93°, β = 70.89°, γ = 77.09°
With the nearest neighbours (Å) after each atom.
Space group P1 (No. 1)
Asymmetric unit:
1 Li 0.0000 0.0000 0.0000  4 O 1.83-1.99
2 Fe 0.6498 0.1266 0.6086  6 O 2.00-2.14
3 Fe 0.6590 0.5758 0.3392  6 O 1.89-2.06
4 P 0.0038 0.5331 0.7437  4 O 1.53-1.58
5 P 0.3192 0.1753 0.1993  4 O 1.52-1.60
6 O 0.3614 0.4986 0.6438  1 P 1.58
7 O 0.4050 0.0364 0.9494  1 P 1.53
8 O 0.4199 0.4458 0.1840  1 P 1.52
9 O 0.4505 0.9702 0.3773  1 P 1.57
10 O 0.8630 0.7147 0.5596  1 P 1.56
11 O 0.9098 0.6631 0.0008  1 P 1.54
12 O 0.9226 0.2507 0.7608  1 P 1.53
13 O 0.9566 0.2226 0.2896  1 P 1.60

Computed properties:
- M_tot: 4.99 μB per cell
- Distance to the lowest polymorph of the same formula: 0.056 eV per atom
- Formation energy without anion corrections: -1.806 eV/atom
- DFT total energy: -96.95 eV for the cell shown


DFT (PBEsol) results for crystalline Li4Fe3SbP4O16 at its relaxed geometry.

a = 4.6941 Å, b = 6.0230 Å, c = 10.8549 Å
α = 90.00°, β = 93.33°, γ = 90.00°
With the nearest neighbours (Å) after each atom.
Space group Pm (No. 6)
Asymmetric unit:
1 Li 0.0000 0.2394 0.0000  5 O 2.03-2.19
2 Li 0.5561 0.2480 0.4605  6 O 2.06-2.22
3 Fe 0.0532 0.5000 0.2603  6 O 2.04-2.26
4 Fe 0.0642 0.0000 0.6695  5 O 2.03-2.25
5 Fe 0.5394 0.0000 0.1993  6 O 2.04-2.23
6 Sb 0.5397 0.5000 0.7635  3 O 2.18-2.22
7 P 0.1198 0.0000 0.3743  4 O 1.53-1.57
8 P 0.4351 0.0000 0.8954  4 O 1.52-1.59
9 P 0.5828 0.5000 0.0873  4 O 1.53-1.57
10 P 0.9852 0.5000 0.5527  4 O 1.54-1.57
11 O 0.2435 0.2046 0.3055  1 P 1.57
12 O 0.2565 0.5000 0.0804  1 P 1.53
13 O 0.2698 0.0000 0.5058  1 P 1.55
14 O 0.3022 0.0000 0.0226  1 P 1.55
15 O 0.3016 0.2010 0.8174  1 P 1.59
16 O 0.3129 0.5000 0.5505  1 P 1.54
17 O 0.7052 0.5000 0.9554  1 P 1.57
18 O 0.7233 0.2936 0.1525  1 P 1.56
19 O 0.7588 0.0000 0.9043  1 P 1.52
20 O 0.7935 0.0000 0.3751  1 P 1.53
21 O 0.8350 0.5000 0.4217  1 P 1.55
22 O 0.8706 0.2898 0.6198  1 P 1.57

Computed properties:
- M_tot: 4.05 μB per cell
- Formation energy without anion corrections: -1.862 eV/atom
- DFT total energy: -198.61 eV for the cell shown


DFT (PBEsol) results for crystalline Li2FeSnP2O8 at its relaxed geometry.

a = 4.8235 Å, b = 5.8258 Å, c = 12.0270 Å
α = 90.00°, β = 100.37°, γ = 90.00°
With the nearest neighbours (Å) after each atom.
Space group P2_1/m (No. 11)
Asymmetric unit:
1 Li 0.0000 0.0000 0.0000  4 O 2.01-2.07
2 Li 0.5000 0.0000 0.5000  6 O 2.10-2.26
3 Fe 0.0617 0.2500 0.6863  5 O 2.01-2.14
4 Sn 0.4371 0.2500 0.2167  4 O 2.28-2.49
5 P 0.0543 0.2500 0.4181  4 O 1.54-1.56
6 P 0.4127 0.2500 0.8974  4 O 1.52-1.59
7 O 0.1642 0.0329 0.3634  1 P 1.56
8 O 0.2219 0.2500 0.5418  1 P 1.56
9 O 0.2673 0.7500 0.0823  1 P 1.52
10 O 0.2691 0.7500 0.5940  1 P 1.54
11 O 0.2786 0.0415 0.8213  1 P 1.59
12 O 0.2906 0.2500 0.0072  1 P 1.54

Computed properties:
- M_tot: 8.00 μB per cell
- Formation energy without anion corrections: -1.946 eV/atom
- DFT total energy: -195.96 eV for the cell shown


DFT (PBEsol) results for crystalline Li3VFeP4O14 at its relaxed geometry.

a = 4.9381 Å, b = 7.0060 Å, c = 8.1456 Å
α = 90.58°, β = 90.34°, γ = 108.92°
With the nearest neighbours (Å) after each atom.
Space group P1 (No. 1)
Asymmetric unit:
1 Li 0.0000 0.0000 0.0000  4 O 1.91-2.01
2 Li 0.1218 0.4338 0.6859  4 O 1.90-2.11
3 Li 0.6647 0.6833 0.4970  4 O 1.96-2.12
4 V 0.0455 0.0631 0.3484  6 O 2.00-2.05
5 Fe 0.6350 0.6138 0.8663  5 O 1.94-2.14
6 P 0.0531 0.4208 0.0668  4 O 1.52-1.62
7 P 0.2305 0.8626 0.6714  4 O 1.52-1.61
8 P 0.4326 0.8171 0.1729  4 O 1.52-1.61
9 P 0.6254 0.2520 0.5601  4 O 1.51-1.62
10 O 0.0317 0.8363 0.8170  1 P 1.52
11 O 0.0695 0.8537 0.5086  1 P 1.53
12 O 0.2145 0.9299 0.1767  1 P 1.53
13 O 0.2226 0.4169 0.9097  1 P 1.54
14 O 0.2574 0.5811 0.1958  2 P 1.61-1.62
15 O 0.3974 0.7115 0.6672  1 P 1.54
16 O 0.4363 0.2471 0.4128  1 P 1.51
17 O 0.4565 0.0864 0.6924  2 P 1.61-1.62
18 O 0.5872 0.8410 0.0091  1 P 1.52
19 O 0.6388 0.8641 0.3203  1 P 1.53
20 O 0.7080 0.4546 0.6542  1 P 1.54
21 O 0.7910 0.4824 0.0326  1 P 1.52
22 O 0.9087 0.2141 0.5243  1 P 1.54
23 O 0.9813 0.2202 0.1555  1 P 1.52

Computed properties:
- M_tot: 6.44 μB per cell
- Formation energy without anion corrections: -2.174 eV/atom
- DFT total energy: -171.16 eV for the cell shown


DFT (PBEsol) results for crystalline Li2VFeP2O8 at its relaxed geometry.

a = 4.6641 Å, b = 5.9631 Å, c = 10.2446 Å
α = 90.00°, β = 90.04°, γ = 90.00°
With the nearest neighbours (Å) after each atom.
Space group P2_1/m (No. 11)
Asymmetric unit:
1 Li 0.0000 0.0000 0.0000  6 O 2.09-2.19
2 Li 0.5000 0.0000 0.5000  6 O 2.08-2.14
3 V 0.0140 0.2500 0.2770  6 O 2.06-2.16
4 Fe 0.4763 0.2500 0.7774  6 O 2.05-2.23
5 P 0.0787 0.7500 0.4087  4 O 1.53-1.57
6 P 0.4221 0.7500 0.9047  4 O 1.53-1.57
7 O 0.2075 0.7500 0.5488  1 P 1.56
8 O 0.2157 0.5432 0.3378  1 P 1.57
9 O 0.2490 0.2500 0.0976  1 P 1.53
10 O 0.2493 0.2500 0.5921  1 P 1.53
11 O 0.2833 0.5448 0.8318  1 P 1.57
12 O 0.2981 0.7500 0.0443  1 P 1.54

Computed properties:
- M_tot: 13.31 μB per cell
- Formation energy without anion corrections: -2.031 eV/atom
- DFT total energy: -209.10 eV for the cell shown


DFT (PBEsol) results for crystalline Li2VFeP4O14 at its relaxed geometry.

a = 6.9669 Å, b = 8.0940 Å, c = 9.6876 Å
α = 90.00°, β = 108.66°, γ = 90.00°
With the nearest neighbours (Å) after each atom.
Space group P2_1 (No. 4)
Asymmetric unit:
1 Li 0.1538 0.0000 0.0795  4 O 1.93-2.00
2 Li 0.1789 0.0060 0.5902  4 O 1.96-2.08
3 V 0.2246 0.6425 0.6033  6 O 1.91-2.01
4 Fe 0.2362 0.6439 0.1104  6 O 1.94-2.11
5 P 0.0237 0.3216 0.2035  4 O 1.52-1.61
6 P 0.0245 0.3242 0.7000  4 O 1.51-1.60
7 P 0.4144 0.4331 0.8898  4 O 1.51-1.62
8 P 0.4180 0.4261 0.3948  4 O 1.52-1.61
9 O 0.0091 0.4902 0.1308  1 P 1.52
10 O 0.0103 0.4899 0.6202  1 P 1.54
11 O 0.0170 0.6800 0.4086  1 P 1.54
12 O 0.0199 0.6786 0.9034  1 P 1.52
13 O 0.1014 0.8187 0.6905  1 P 1.54
14 O 0.1035 0.8233 0.1999  1 P 1.51
15 O 0.2566 0.2929 0.3017  2 P 1.61
16 O 0.2573 0.2962 0.7948  2 P 1.60-1.62
17 O 0.3493 0.4725 0.5249  1 P 1.53
18 O 0.3554 0.4725 0.0233  1 P 1.51
19 O 0.3795 0.8510 0.0735  1 P 1.52
20 O 0.3807 0.8327 0.5583  1 P 1.53
21 O 0.4031 0.5866 0.7932  1 P 1.54
22 O 0.4301 0.5756 0.3031  1 P 1.52

Computed properties:
- M_tot: 12.48 μB per cell
- Formation energy without anion corrections: -2.172 eV/atom
- DFT total energy: -333.94 eV for the cell shown


DFT (PBEsol) results for crystalline Li2ZnFeP2O8 at its relaxed geometry.

a = 4.6835 Å, b = 5.9451 Å, c = 10.1675 Å
α = 90.00°, β = 90.28°, γ = 90.00°
With the nearest neighbours (Å) after each atom.
Space group P2_1/m (No. 11)
Asymmetric unit:
1 Li 0.0000 0.0000 0.0000  6 O 2.09-2.18
2 Li 0.5000 0.0000 0.5000  6 O 2.07-2.16
3 Zn 0.0224 0.2500 0.7175  6 O 2.04-2.23
4 Fe 0.4720 0.2500 0.2202  6 O 2.02-2.22
5 P 0.0813 0.7500 0.5936  4 O 1.53-1.57
6 P 0.4224 0.7500 0.0958  4 O 1.53-1.57
7 O 0.2083 0.7500 0.4526  1 P 1.55
8 O 0.2187 0.5433 0.6655  1 P 1.57
9 O 0.2455 0.2500 0.4062  1 P 1.53
10 O 0.2501 0.2500 0.9011  1 P 1.53
11 O 0.2861 0.5437 0.1680  1 P 1.57
12 O 0.2961 0.7500 0.9548  1 P 1.55

Computed properties:
- M_tot: 8.00 μB per cell
- Formation energy without anion corrections: -2.022 eV/atom
- DFT total energy: -192.74 eV for the cell shown